An optimized crystal structure of ZnGaBi. Source: the Open Quantum Materials Database, functional PBE-GGA.

Properties
- Crystal system: cubic
- E above lowest polymorph: 0.027 eV per atom

The structure in CIF format:
```
data_ZnGaBi
_chemical_formula_sum 'Zn4 Ga4 Bi4'
_space_group_name_H-M_alt 'F -4 3 m'
_space_group_IT_number 216
_space_group_name_Hall 'F -4 2 3'
_cell_length_a 6.9231
_cell_length_b 6.9231
_cell_length_c 6.9231
_cell_angle_alpha 90.00
_cell_angle_beta 90.00
_cell_angle_gamma 90.00
loop_
_atom_site_label
_atom_site_type_symbol
_atom_site_fract_x
_atom_site_fract_y
_atom_site_fract_z
Zn1 Zn 0.0000 0.0000 0.0000
Ga1 Ga 0.0000 0.0000 0.5000
Bi1 Bi 0.2500 0.2500 0.7500
```